Record 1
4
Lattice="3.955 0.000 0.000 1.977 3.425 0.000 1.977 1.142 7.255" Properties=species:S:1:pos:R:3 comment="LiCuBr2 GGA-PBEsol relaxed" space_group="R-3m, No. 166" relative_energy_mev_per_atom=86 density_g_cm3=3.89 e_form_raw_ev_per_fu=-3.12 pbc="T T T"
Li 3.955 2.283 3.628
Br 5.932 3.425 2.217
Cu 0.000 0.000 0.000
Br 1.977 1.142 5.039

---

Record 2
4
Lattice="3.573 0.000 0.000 0.000 3.575 0.000 -1.787 -1.788 7.056" Properties=species:S:1:pos:R:3 comment="LiCuBr2 GGA-PBEsol relaxed" space_group="Imm2, No. 44" relative_energy_mev_per_atom=201 density_g_cm3=4.24 e_form_raw_ev_per_fu=-2.66 pbc="T T T"
Br 1.787 0.000 3.508
Cu 0.000 0.000 7.054
Li 0.000 1.788 3.570
Br 1.787 1.788 7.036

---

Record 3
4
Lattice="-1.006 -1.092 2.907 0.368 -3.077 -1.029 5.768 0.028 2.008" Properties=species:S:1:pos:R:3 comment="Li2CuBr GGA-PBEsol relaxed" space_group="P2/m, No. 10" relative_energy_mev_per_atom=0 density_g_cm3=4.01 e_form_raw_ev_per_fu=-1.80 pbc="T T T"
Cu -0.319 -2.085 0.939
Li 1.405 0.006 0.489
Li 4.730 -3.055 0.490
Br 2.564 -2.071 1.943

---

Record 4
5
Lattice="-4.303 0.345 1.567 1.308 -1.843 3.998 1.067 4.811 1.869" Properties=species:S:1:pos:R:3 comment="LiTi2CuBr GGA-PBEsol relaxed" space_group="P4/mmm, No. 123" density_g_cm3=3.68 e_form_raw_ev_per_fu=4.07 pbc="T T T"
Li -0.964 1.657 3.717
Cu 0.000 0.000 0.000
Ti 0.654 -0.921 1.999
Br 0.533 2.406 0.934
Ti -2.151 0.173 0.784

---

Record 5
5
Lattice="4.812 0.000 0.000 0.000 4.812 0.000 0.000 0.000 6.430" Properties=species:S:1:pos:R:3 comment="MgCuMoBr2 GGA-PBEsol relaxed" space_group="P4/mmm, No. 123" density_g_cm3=3.83 e_form_raw_ev_per_fu=5.27 pbc="T T T"
Mg 0.000 0.000 0.000
Br 0.000 2.406 0.000
Cu 2.406 2.406 3.215
Mo 0.000 0.000 3.215
Br 2.406 0.000 0.000

---

Record 6
4
Lattice="3.540 0.000 0.000 1.770 4.820 0.175 1.770 0.896 4.740" Properties=species:S:1:pos:R:3 comment="MnCuBr2 GGA-PBEsol relaxed" space_group="Immm, No. 71" density_g_cm3=5.75 e_form_raw_ev_per_fu=0.91 pbc="T T T"
Br 3.540 1.383 1.189
Mn 1.770 2.858 2.457
Cu 1.770 0.000 0.000
Br 3.540 4.334 3.726